Entry 1:
The following is a PBE calculation of an optimized crystal structure of RbNaTl6Cd, from the Alexandria database.

Its crystal system is orthorhombic. As for the total energy: -1.8820 eV/atom.

It has space group Imma (No. 74), with a = 6.3369 Å, b = 11.4857 Å, c = 18.7523 Å, α = 90.00°, β = 90.00° and γ = 90.00°. The inequivalent atoms are Rb at (0.0000, 0.2500, 0.0811), Na at (0.0000, 0.0000, 0.5000), Tl at (0.0000, 0.2500, 0.2884), Tl at (0.0000, 0.2500, 0.8950), Tl at (0.2487, 0.0109, 0.6645) and Cd at (0.2500, 0.2500, 0.7500).


Entry 2:
The following is a PBE calculation of an optimized crystal structure of RbNa3TlCd, from the Alexandria database.

Its crystal system is orthorhombic. As for the total energy: -1.3532 eV/atom.

It has space group Cmcm (No. 63), with a = 8.2290 Å, b = 16.1769 Å, c = 7.0868 Å, α = 90.00°, β = 90.00° and γ = 90.00°. The inequivalent atoms are Rb at (0.0000, 0.2203, 0.2500), Na at (0.0000, 0.3551, 0.7500), Na at (0.2001, 0.0000, 0.0000), Tl at (0.0000, 0.4408, 0.2500) and Cd at (0.0000, 0.1457, 0.7500).


Entry 3:
The following is a PBE calculation of an optimized crystal structure of RbNa2TlCd, from the Alexandria database.

Its crystal system is tetragonal. The offset from the most stable computed form comes out at 0.0000 eV/atom.

It has space group P4/mmm (No. 123), with a = 6.0665 Å, b = 6.0665 Å, c = 5.8260 Å, α = 90.00°, β = 90.00° and γ = 90.00°. The inequivalent atoms are Rb at (0.0000, 0.0000, 0.0000), Na at (0.0000, 0.5000, 0.5000), Tl at (0.5000, 0.5000, 0.5000) and Cd at (0.5000, 0.5000, 0.0000).


Entry 4:
The following is a PBE calculation of an optimized crystal structure of RbNa2YCd, from the Alexandria database.

Its crystal system is tetragonal. As for the total energy: -1.9190 eV/atom.

It has space group P4/mmm (No. 123), with a = 6.0884 Å, b = 6.0884 Å, c = 5.9232 Å, α = 90.00°, β = 90.00° and γ = 90.00°. The inequivalent atoms are Rb at (0.0000, 0.0000, 0.0000), Na at (0.0000, 0.5000, 0.5000), Y at (0.5000, 0.5000, 0.0000) and Cd at (0.5000, 0.5000, 0.5000).


Entry 5:
The following is a PBE calculation of an optimized crystal structure of RbNaZn2Cd, from the Alexandria database.

Its crystal system is tetragonal. As for the total energy: -0.9934 eV/atom.

It has space group P4/mmm (No. 123), with a = 5.2468 Å, b = 5.2468 Å, c = 5.8574 Å, α = 90.00°, β = 90.00° and γ = 90.00°. The inequivalent atoms are Rb at (0.0000, 0.0000, 0.0000), Na at (0.5000, 0.5000, 0.0000), Zn at (0.0000, 0.5000, 0.5000) and Cd at (0.5000, 0.5000, 0.5000).


Entry 6:
The following is a PBE calculation of an optimized crystal structure of RbNaZnCd2, from the Alexandria database.

Its crystal system is tetragonal. As for the total energy: -1.0352 eV/atom.

It has space group P4/mmm (No. 123), with a = 5.2628 Å, b = 5.2628 Å, c = 5.8094 Å, α = 90.00°, β = 90.00° and γ = 90.00°. The inequivalent atoms are Rb at (0.0000, 0.0000, 0.0000), Na at (0.5000, 0.5000, 0.0000), Zn at (0.5000, 0.5000, 0.5000) and Cd at (0.0000, 0.5000, 0.5000).


Entry 7:
The following is a PBE calculation of an optimized crystal structure of NaCd2Re, from the Alexandria database.

Its crystal system is cubic. The offset from the most stable computed form comes out at 0.0000 eV/atom.

It has space group Fm-3m (No. 225), with a = 6.8179 Å, b = 6.8179 Å, c = 6.8179 Å, α = 90.00°, β = 90.00° and γ = 90.00°. The inequivalent atoms are Na at (0.0000, 0.0000, 0.0000), Cd at (0.2500, 0.2500, 0.2500) and Re at (0.0000, 0.0000, 0.5000).


Entry 8:
The following is a PBE calculation of an optimized crystal structure of Na3CdRe, from the Alexandria database.

Its crystal system is cubic. The offset from the most stable computed form comes out at 0.0000 eV/atom.

It has space group Pm-3m (No. 221), with a = 5.8200 Å, b = 5.8200 Å, c = 5.8200 Å, α = 90.00°, β = 90.00° and γ = 90.00°. The inequivalent atoms are Na at (0.0000, 0.0000, 0.5000), Cd at (0.5000, 0.5000, 0.5000) and Re at (0.0000, 0.0000, 0.0000).


DOS at the Fermi energy per entry: 0.5500; 0.4877; 0.4216; 1.2897; 0.5389; 0.4460; 0.5338; 1.0051 states/eV per atom
Calculated density per entry: 7.043; 3.318; 3.471; 2.517; 3.622; 4.115; 9.096; 3.096 g/cm³